1.
CeBMo2 (GGA-PBE, relaxed); uncorrected energy = -8.369 eV/atom; space-group type = R-3m, No. 166
1.0
3.0891 0.0000 0.0000
1.5446 2.6753 0.0000
1.5446 0.8918 7.9247
Mo Ce B
2 1 1
direct
0.1150 0.1150 0.6551
0.8850 0.8850 0.3449
0.0000 0.0000 0.0000
0.5000 0.5000 0.5000


2.
Ac2SiNi2 (GGA-PBE, relaxed); formation energy from raw total energies = -406 meV per atom; space-group type = C2/c, No. 15
1.0
-5.0459 -0.8574 -2.8844
1.6962 -3.6928 4.1150
-3.4029 5.4969 4.3179
Ni Si Ac
4 2 4
direct
0.9998 0.2253 0.0033
0.0002 0.7747 0.9967
0.7745 0.7747 0.4967
0.2255 0.2253 0.5033
0.1128 0.0000 0.7500
0.8872 0.0000 0.2500
0.4574 0.6904 0.8423
0.5426 0.3096 0.1577
0.2330 0.6904 0.3422
0.7670 0.3096 0.6578


3.
CuOs2Pd (GGA-PBE, relaxed); uncorrected energy = -6.861 eV/atom; space-group type = I-42d, No. 122
1.0
7.0219 0.0000 0.0000
0.0000 7.0219 0.0000
3.5110 3.5110 2.4974
Os Cu Pd
4 2 2
direct
0.3750 0.3987 0.7500
0.6013 0.1250 0.2500
0.8750 0.8513 0.7500
0.1487 0.6250 0.2500
0.5000 0.5000 0.0000
0.2500 0.7500 0.5000
0.7500 0.2500 0.5000
0.0000 0.0000 0.0000


4.
NbIrN (GGA-PBE, relaxed); formation energy from raw total energies = -501 meV per atom; space-group type = P4/nmm, No. 129
1.0
2.9196 0.0000 0.0000
0.0000 2.9196 0.0000
0.0000 0.0000 8.8532
N Nb Ir
2 2 2
direct
0.5000 0.0000 0.0965
0.0000 0.5000 0.9035
0.5000 0.0000 0.8348
0.0000 0.5000 0.1652
0.0000 0.5000 0.6075
0.5000 0.0000 0.3925


5.
CsSrP (GGA-PBE, relaxed); uncorrected energy = -3.127 eV/atom; space-group type = C2, No. 5
1.0
-4.4310 11.8837 6.4297
-1.9769 -0.8893 5.1694
5.0932 -1.6464 1.6646
P Cs Sr
2 2 2
direct
0.4014 0.4674 0.2701
0.5986 0.2701 0.4674
0.8111 0.5576 0.6830
0.1889 0.6830 0.5576
0.5241 0.3445 0.8929
0.4759 0.8929 0.3445


6.
Li4Pa3Se12 (GGA-PBE, relaxed); formation energy from raw total energies = -793 meV per atom; space-group type = Im-3, No. 204
1.0
8.5439 0.0000 0.0000
-2.8480 8.0553 0.0000
-2.8480 -4.0276 6.9761
Se Li Pa
12 4 3
direct
0.7748 0.6746 0.4494
0.6746 0.8997 0.2252
0.6746 0.4494 0.7748
0.2252 0.6746 0.8997
0.3254 0.5506 0.2252
0.8997 0.2252 0.6746
0.2252 0.3254 0.5506
0.7748 0.3254 0.1003
0.4494 0.7748 0.6746
0.3254 0.1003 0.7748
0.1003 0.7748 0.3254
0.5506 0.2252 0.3254
0.0000 0.0000 0.5000
0.5000 0.0000 0.0000
0.5000 0.5000 0.5000
0.0000 0.5000 0.0000
0.5000 0.5000 0.0000
0.5000 0.0000 0.5000
0.0000 0.5000 0.5000


7.
RbAgF4 (GGA-PBE, relaxed); formation energy from raw total energies = -1398 meV per atom; space-group type = P4_2/nmc, No. 137
1.0
5.9350 0.0000 0.0000
0.0000 5.9350 0.0000
0.0000 0.0000 7.8110
Rb Ag F
2 2 8
direct
0.5000 0.5000 0.0000
0.0000 0.0000 0.5000
0.5000 0.5000 0.5000
0.0000 0.0000 0.0000
0.2572 0.5000 0.3150
0.5000 0.2572 0.6850
0.0000 0.2428 0.8150
0.0000 0.7572 0.8150
0.7572 0.0000 0.1850
0.2428 0.0000 0.1850
0.7428 0.5000 0.3150
0.5000 0.7428 0.6850


8.
KTl2Au (GGA-PBE, relaxed); uncorrected energy = -2.285 eV/atom; space-group type = C2/m, No. 12
1.0
6.8462 -0.0945 0.3290
-3.6251 5.8084 0.3290
0.8661 1.5365 3.3090
Au Tl K
1 2 1
direct
0.5000 0.0000 0.5000
0.0000 0.0000 0.0000
0.5000 0.5000 0.0000
0.0000 0.5000 0.5000


9.
BaScIn2 (GGA-PBE, relaxed); uncorrected energy = -3.368 eV/atom; space-group type = I-42d, No. 122
1.0
5.5013 0.0000 0.0000
0.0000 5.5013 0.0000
2.7506 2.7506 10.1633
In Ba Sc
4 2 2
direct
0.2545 0.6250 0.2500
0.4955 0.1250 0.2500
0.3750 0.5045 0.7500
0.8750 0.7455 0.7500
0.7500 0.2500 0.5000
0.0000 0.0000 0.0000
0.2500 0.7500 0.5000
0.5000 0.5000 0.0000


10.
Cr2InTe (GGA-PBE, relaxed); formation energy from raw total energies = 574 meV per atom; space-group type = I-42d, No. 122
1.0
7.5660 0.0000 0.0000
0.0000 7.5660 0.0000
3.7830 3.7830 3.2355
Te In Cr
2 2 4
direct
0.0000 0.0000 0.0000
0.7500 0.2500 0.5000
0.5000 0.5000 0.0000
0.2500 0.7500 0.5000
0.8750 0.8860 0.7500
0.3750 0.3640 0.7500
0.1140 0.6250 0.2500
0.6360 0.1250 0.2500